Arrangement one

The following is a PBE calculation of a relaxed structure of SrCo3Sb, from Alexandria.

The structure belongs to space group Pm-3m (No. 221); the cell edges are 4.801, 4.801 and 4.801 Å and the angles 90.00°, 90.00° and 90.00°. The inequivalent atoms are Sr at (0.000, 0.000, 0.000), Co at (0.000, 0.500, 0.500) and Sb at (0.500, 0.500, 0.500).

As for the density: 5.79 Mg/m³.

Arrangement two

The following is a PBE calculation of a relaxed structure of SrCo3Sb, from Alexandria.

The structure belongs to space group Pm-3m (No. 221); the cell edges are 4.757, 4.757 and 4.757 Å and the angles 90.00°, 90.00° and 90.00°. The inequivalent atoms are Sr at (0.000, 0.000, 0.000), Co at (0.000, 0.000, 0.500) and Sb at (0.500, 0.500, 0.500).

As for the density: 5.96 Mg/m³.

Which is most stable? The ranking, best first, is arrangement one, arrangement two.

Arrangement one

The following is a PBE calculation of a relaxed structure of TaCoSbTe2, from Alexandria.

The structure belongs to space group P4/mmm (No. 123); the cell edges are 4.962, 4.962 and 4.769 Å and the angles 90.00°, 90.00° and 90.00°. The inequivalent atoms are Ta at (0.000, 0.000, 0.000), Co at (0.500, 0.500, 0.500), Sb at (0.500, 0.500, 0.000) and Te at (0.000, 0.500, 0.500).

As for the density: 8.72 Mg/m³.

Arrangement two

The following is a PBE calculation of a relaxed structure of TaCoSbTe2, from Alexandria.

The structure belongs to space group P4/mmm (No. 123); the cell edges are 5.357, 5.357 and 5.425 Å and the angles 90.00°, 90.00° and 90.00°. The inequivalent atoms are Ta at (0.000, 0.000, 0.000), Co at (0.500, 0.500, 0.500), Sb at (0.000, 0.000, 0.500) and Te at (0.000, 0.500, 0.000).

As for the density: 6.58 Mg/m³.

Which is most stable? The ranking, best first, is arrangement one, arrangement two.

Arrangement one

The following is a PBE calculation of a relaxed structure of TaCoSb2Te, from Alexandria.

The structure belongs to space group P4/mmm (No. 123); the cell edges are 4.812, 4.812 and 5.035 Å and the angles 90.00°, 90.00° and 90.00°. The inequivalent atoms are Ta at (0.000, 0.000, 0.000), Co at (0.500, 0.500, 0.500), Sb at (0.000, 0.500, 0.500) and Te at (0.500, 0.500, 0.000).

As for the density: 8.70 Mg/m³.

Arrangement two

The following is a PBE calculation of a relaxed structure of TaCoSb2Te, from Alexandria.

The structure belongs to space group P4/mmm (No. 123); the cell edges are 5.364, 5.364 and 5.331 Å and the angles 90.00°, 90.00° and 90.00°. The inequivalent atoms are Ta at (0.000, 0.000, 0.000), Co at (0.500, 0.500, 0.500), Sb at (0.000, 0.500, 0.000) and Te at (0.000, 0.000, 0.500).

As for the density: 6.61 Mg/m³.

Which is most stable? The ranking, best first, is arrangement one, arrangement two.

Arrangement one

The following is a PBE calculation of a relaxed structure of CoTcSb4, from Alexandria.

The structure belongs to space group F-43m (No. 216); the cell edges are 8.526, 8.526 and 8.526 Å and the angles 90.00°, 90.00° and 90.00°. The inequivalent atoms are Co at (0.000, 0.000, 0.000), Tc at (0.250, 0.250, 0.250) and Sb at (0.126, 0.126, 0.626).

As for the density: 6.90 Mg/m³.

Arrangement two

The following is a PBE calculation of a relaxed structure of CoTcSb4, from Alexandria.

The structure belongs to space group C2/c (No. 15); the cell edges are 8.441, 14.432 and 5.776 Å and the angles 90.00°, 132.50° and 90.00°. The inequivalent atoms are Co at (0.000, 0.197, 0.250), Tc at (0.000, 0.457, 0.750), Sb at (0.180, 0.307, 0.718) and Sb at (0.188, 0.060, 0.633).

As for the density: 8.25 Mg/m³.

Which is most stable? The ranking, best first, is arrangement two, arrangement one.

Arrangement one

The following is a PBE calculation of a relaxed structure of CoTcSb3, from Alexandria.

The structure belongs to space group Pm-3m (No. 221); the cell edges are 5.128, 5.128 and 5.128 Å and the angles 90.00°, 90.00° and 90.00°. The inequivalent atoms are Co at (0.000, 0.000, 0.000), Tc at (0.500, 0.500, 0.500) and Sb at (0.000, 0.500, 0.500).

As for the density: 6.43 Mg/m³.

Arrangement two

The following is a PBE calculation of a relaxed structure of CoTcSb3, from Alexandria.

The structure belongs to space group Pm-3m (No. 221); the cell edges are 4.876, 4.876 and 4.876 Å and the angles 90.00°, 90.00° and 90.00°. The inequivalent atoms are Co at (0.000, 0.000, 0.000), Tc at (0.500, 0.500, 0.500) and Sb at (0.000, 0.000, 0.500).

As for the density: 7.48 Mg/m³.

Which is most stable? The ranking, best first, is arrangement two, arrangement one.

Arrangement one

The following is a PBE calculation of a relaxed structure of CoTcSbTe2, from Alexandria.

The structure belongs to space group P4/mmm (No. 123); the cell edges are 5.043, 5.043 and 4.755 Å and the angles 90.00°, 90.00° and 90.00°. The inequivalent atoms are Co at (0.000, 0.000, 0.000), Tc at (0.500, 0.500, 0.500), Sb at (0.000, 0.000, 0.500) and Te at (0.000, 0.500, 0.000).

As for the density: 7.33 Mg/m³.

Arrangement two

The following is a PBE calculation of a relaxed structure of CoTcSbTe2, from Alexandria.

The structure belongs to space group P4/mmm (No. 123); the cell edges are 5.225, 5.225 and 5.115 Å and the angles 90.00°, 90.00° and 90.00°. The inequivalent atoms are Co at (0.000, 0.000, 0.000), Tc at (0.500, 0.500, 0.500), Sb at (0.500, 0.500, 0.000) and Te at (0.000, 0.500, 0.500).

As for the density: 6.35 Mg/m³.

Which is most stable? The ranking, best first, is arrangement one, arrangement two.